Material: Rb3NbAs
Method: DFT, PBE
State: optimized geometry

## Properties
Energy relative to the lowest polymorph listed for this composition: 0.0000 eV per atom
DOS(E_F): 10.33 states/eV/cell
E_tot: -2.5026 eV/atom
Size of the total moment: 4.76 μB per formula unit
Energy of formation from the pure elements: 1.0218 eV/atom

The structure in CIF format:
```
data_Rb3NbAs
_chemical_formula_sum 'Rb3 Nb1 As1'
_cell_length_a 6.6606
_cell_length_b 6.6606
_cell_length_c 6.6606
_cell_angle_alpha 90.00
_cell_angle_beta 90.00
_cell_angle_gamma 90.00
_space_group_name_H-M_alt 'P m -3 m'
_space_group_IT_number 221
_space_group_name_Hall '-P 4 2 3'
loop_
_atom_site_label
_atom_site_type_symbol
_atom_site_fract_x
_atom_site_fract_y
_atom_site_fract_z
Rb1 Rb 0.0000 0.0000 0.5000
Nb1 Nb 0.5000 0.5000 0.5000
As1 As 0.0000 0.0000 0.0000
```

---

Material: Mg2PtBr2
Method: DFT, PBE
State: optimized geometry

## Properties
Energy relative to the lowest polymorph listed for this composition: 0.2501 eV per atom
DOS(E_F): 0.19 states/eV/cell
Raw formation energy: -0.13 eV/atom
E_tot: -2.6486 eV/atom
Size of the total moment: 0.00 μB per formula unit

The structure in CIF format:
```
data_Mg2PtBr2
_chemical_formula_sum 'Mg4 Pt2 Br4'
_cell_length_a 4.4595
_cell_length_b 4.4595
_cell_length_c 12.3189
_cell_angle_alpha 90.00
_cell_angle_beta 90.00
_cell_angle_gamma 90.00
_space_group_name_H-M_alt 'I 4/m m m'
_space_group_IT_number 139
_space_group_name_Hall '-I 4 2'
loop_
_atom_site_label
_atom_site_type_symbol
_atom_site_fract_x
_atom_site_fract_y
_atom_site_fract_z
Mg1 Mg 0.0000 0.0000 0.1229
Pt1 Pt 0.0000 0.0000 0.5000
Br1 Br 0.0000 0.5000 0.2500
```